No. 1
Crystalline CaPu2Rh9 at its relaxed geometry, computed with PBE.

Geometry as CIF:
```
data_CaPu2Rh9
_space_group_name_H-M_alt 'P 1'
_space_group_IT_number 1
_space_group_name_Hall 'P 1'
_cell_length_a 9.265
_cell_length_b 9.265
_cell_length_c 9.265
_cell_angle_alpha 33.03
_cell_angle_beta 33.03
_cell_angle_gamma 33.03
loop_
_atom_site_label
_atom_site_type_symbol
_atom_site_fract_x
_atom_site_fract_y
_atom_site_fract_z
Ca1 Ca 0.000 0.000 0.000
Pu1 Pu 0.139 0.139 0.139
Pu2 Pu 0.861 0.861 0.861
Rh1 Rh 0.081 0.585 0.585
Rh2 Rh 0.333 0.333 0.333
Rh3 Rh 0.415 0.415 0.919
Rh4 Rh 0.415 0.919 0.415
Rh5 Rh 0.500 0.500 0.500
Rh6 Rh 0.585 0.081 0.585
Rh7 Rh 0.585 0.585 0.081
Rh8 Rh 0.667 0.667 0.667
Rh9 Rh 0.919 0.415 0.415
```

Space group: R-3m, No. 166
Size of the total moment (μB/atom): 0.653
Density of states at the Fermi level (states/eV/atom): 2.26
Formation energy (eV/atom): -0.334
Final energy (eV per atom): -8.403


No. 2
Crystalline CuIrS2 at its relaxed geometry, computed with PBE.

Geometry as CIF:
```
data_CuIrS2
_space_group_name_H-M_alt 'P 1'
_space_group_IT_number 1
_space_group_name_Hall 'P 1'
_cell_length_a 7.137
_cell_length_b 5.348
_cell_length_c 9.806
_cell_angle_alpha 90.00
_cell_angle_beta 107.79
_cell_angle_gamma 90.00
loop_
_atom_site_label
_atom_site_type_symbol
_atom_site_fract_x
_atom_site_fract_y
_atom_site_fract_z
Cu1 Cu 0.094 0.240 0.492
Cu2 Cu 0.094 0.260 0.992
Cu3 Cu 0.906 0.740 0.008
Cu4 Cu 0.906 0.760 0.508
Ir1 Ir 0.016 0.620 0.781
Ir2 Ir 0.016 0.880 0.281
Ir3 Ir 0.984 0.120 0.719
Ir4 Ir 0.984 0.380 0.219
S1 S 0.235 0.576 0.401
S2 S 0.235 0.924 0.901
S3 S 0.245 0.113 0.211
S4 S 0.245 0.387 0.711
S5 S 0.755 0.613 0.289
S6 S 0.755 0.887 0.789
S7 S 0.765 0.076 0.099
S8 S 0.765 0.424 0.599
```

Space group: P2_1/c, No. 14
Size of the total moment (μB/atom): 0.000
Density of states at the Fermi level (states/eV/atom): 0.39
Uncorrected formation energy (eV/f.u.): -0.018
Final energy (eV per atom): -5.308


No. 3
Crystalline POs2W at its relaxed geometry, computed with PBE.

Geometry as CIF:
```
data_POs2W
_space_group_name_H-M_alt 'P 1'
_space_group_IT_number 1
_space_group_name_Hall 'P 1'
_cell_length_a 2.853
_cell_length_b 4.486
_cell_length_c 4.507
_cell_angle_alpha 90.00
_cell_angle_beta 90.00
_cell_angle_gamma 90.00
loop_
_atom_site_label
_atom_site_type_symbol
_atom_site_fract_x
_atom_site_fract_y
_atom_site_fract_z
P1 P 0.000 0.000 0.000
Os1 Os 0.000 0.500 0.500
Os2 Os 0.500 0.500 0.000
W1 W 0.500 0.000 0.500
```

Space group: Pmmm, No. 47
Size of the total moment (μB/atom): 0.000
Density of states at the Fermi level (states/eV/atom): 0.89
Formation energy (eV/atom): 0.321
Final energy (eV per atom): -9.885


No. 4
Crystalline CaGeHSe at its relaxed geometry, computed with PBE.

Geometry as CIF:
```
data_CaGeHSe
_space_group_name_H-M_alt 'P 1'
_space_group_IT_number 1
_space_group_name_Hall 'P 1'
_cell_length_a 4.043
_cell_length_b 4.351
_cell_length_c 4.711
_cell_angle_alpha 90.00
_cell_angle_beta 91.73
_cell_angle_gamma 90.00
loop_
_atom_site_label
_atom_site_type_symbol
_atom_site_fract_x
_atom_site_fract_y
_atom_site_fract_z
Ca1 Ca 0.000 0.000 0.000
Ge1 Ge 0.000 0.538 0.500
H1 H 0.000 0.161 0.500
Se1 Se 0.500 0.504 0.000
```

Space group: P2, No. 3
Size of the total moment (μB/atom): 0.000
E above lowest polymorph (eV per atom): 0.0812
Density of states at the Fermi level (states/eV/atom): 0.31
Final energy (eV per atom): -3.907


No. 5
Crystalline BaTe2Os at its relaxed geometry, computed with PBE.

Geometry as CIF:
```
data_BaTe2Os
_space_group_name_H-M_alt 'P 1'
_space_group_IT_number 1
_space_group_name_Hall 'P 1'
_cell_length_a 5.374
_cell_length_b 5.374
_cell_length_c 5.374
_cell_angle_alpha 60.00
_cell_angle_beta 60.00
_cell_angle_gamma 60.00
loop_
_atom_site_label
_atom_site_type_symbol
_atom_site_fract_x
_atom_site_fract_y
_atom_site_fract_z
Ba1 Ba 0.000 0.000 0.000
Te1 Te 0.500 0.500 0.500
Te2 Te 0.750 0.750 0.750
Os1 Os 0.250 0.250 0.250
```

Space group: F-43m, No. 216
Size of the total moment (μB/atom): 0.227
E above lowest polymorph (eV per atom): 1.1572
Density of states at the Fermi level (states/eV/atom): 1.21
Uncorrected formation energy (eV/f.u.): 2.860
Final energy (eV per atom): -4.144


No. 6
Crystalline Ac3Hg2Pd3 at its relaxed geometry, computed with PBE.

Geometry as CIF:
```
data_Ac3Hg2Pd3
_space_group_name_H-M_alt 'P 1'
_space_group_IT_number 1
_space_group_name_Hall 'P 1'
_cell_length_a 6.974
_cell_length_b 6.974
_cell_length_c 15.228
_cell_angle_alpha 90.00
_cell_angle_beta 90.00
_cell_angle_gamma 143.88
loop_
_atom_site_label
_atom_site_type_symbol
_atom_site_fract_x
_atom_site_fract_y
_atom_site_fract_z
Ac1 Ac 0.077 0.923 0.609
Ac2 Ac 0.077 0.923 0.891
Ac3 Ac 0.345 0.655 0.750
Ac4 Ac 0.655 0.345 0.250
Ac5 Ac 0.923 0.077 0.109
Ac6 Ac 0.923 0.077 0.391
Hg1 Hg 0.223 0.777 0.083
Hg2 Hg 0.223 0.777 0.417
Hg3 Hg 0.777 0.223 0.583
Hg4 Hg 0.777 0.223 0.917
Pd1 Pd 0.338 0.662 0.250
Pd2 Pd 0.409 0.591 0.546
Pd3 Pd 0.409 0.591 0.954
Pd4 Pd 0.591 0.409 0.046
Pd5 Pd 0.591 0.409 0.454
Pd6 Pd 0.662 0.338 0.750
```

Space group: Cmcm, No. 63
Size of the total moment (μB/atom): 0.000
E above lowest polymorph (eV per atom): 0.0000
Density of states at the Fermi level (states/eV/atom): 0.65
Formation energy (eV/atom): -0.689
Final energy (eV per atom): -4.252


No. 7
Crystalline YSc2Ga2 at its relaxed geometry, computed with PBE.

Geometry as CIF:
```
data_YSc2Ga2
_space_group_name_H-M_alt 'P 1'
_space_group_IT_number 1
_space_group_name_Hall 'P 1'
_cell_length_a 6.515
_cell_length_b 6.515
_cell_length_c 6.515
_cell_angle_alpha 138.49
_cell_angle_beta 138.49
_cell_angle_gamma 60.15
loop_
_atom_site_label
_atom_site_type_symbol
_atom_site_fract_x
_atom_site_fract_y
_atom_site_fract_z
Y1 Y 0.000 0.000 0.000
Sc1 Sc 0.367 0.367 0.000
Sc2 Sc 0.633 0.633 0.000
Ga1 Ga 0.250 0.750 0.500
Ga2 Ga 0.750 0.250 0.500
```

Space group: I4/mmm, No. 139
Size of the total moment (μB/atom): 0.000
E above lowest polymorph (eV per atom): 0.3239
Density of states at the Fermi level (states/eV/atom): 1.00
Formation energy (eV/atom): -0.173
Final energy (eV per atom): -5.209


No. 8
Crystalline BaNb2SiW at its relaxed geometry, computed with PBE.

Geometry as CIF:
```
data_BaNb2SiW
_space_group_name_H-M_alt 'P 1'
_space_group_IT_number 1
_space_group_name_Hall 'P 1'
_cell_length_a 4.743
_cell_length_b 4.743
_cell_length_c 5.550
_cell_angle_alpha 90.00
_cell_angle_beta 90.00
_cell_angle_gamma 90.00
loop_
_atom_site_label
_atom_site_type_symbol
_atom_site_fract_x
_atom_site_fract_y
_atom_site_fract_z
Ba1 Ba 0.000 0.000 0.000
Nb1 Nb 0.000 0.500 0.500
Nb2 Nb 0.500 0.000 0.500
Si1 Si 0.000 0.000 0.500
W1 W 0.500 0.500 0.000
```

Space group: P4/mmm, No. 123
Size of the total moment (μB/atom): 0.000
Density of states at the Fermi level (states/eV/atom): 1.43
Uncorrected formation energy (eV/f.u.): 8.245
Final energy (eV per atom): -6.439


No. 9
Crystalline RbScPb at its relaxed geometry, computed with PBE.

Geometry as CIF:
```
data_RbScPb
_space_group_name_H-M_alt 'P 1'
_space_group_IT_number 1
_space_group_name_Hall 'P 1'
_cell_length_a 5.519
_cell_length_b 5.519
_cell_length_c 5.519
_cell_angle_alpha 60.00
_cell_angle_beta 60.00
_cell_angle_gamma 60.00
loop_
_atom_site_label
_atom_site_type_symbol
_atom_site_fract_x
_atom_site_fract_y
_atom_site_fract_z
Rb1 Rb 0.000 0.000 0.000
Sc1 Sc 0.500 0.500 0.500
Pb1 Pb 0.750 0.750 0.750
```

Space group: F-43m, No. 216
Size of the total moment (μB/atom): 0.000
E above lowest polymorph (eV per atom): 0.5686
Density of states at the Fermi level (states/eV/atom): 0.00
Formation energy (eV/atom): 0.332
Final energy (eV per atom): -3.338


No. 10
Crystalline LiCuSb2 at its relaxed geometry, computed with PBE.

Geometry as CIF:
```
data_LiCuSb2
_space_group_name_H-M_alt 'P 1'
_space_group_IT_number 1
_space_group_name_Hall 'P 1'
_cell_length_a 3.240
_cell_length_b 3.240
_cell_length_c 8.120
_cell_angle_alpha 90.00
_cell_angle_beta 90.00
_cell_angle_gamma 101.77
loop_
_atom_site_label
_atom_site_type_symbol
_atom_site_fract_x
_atom_site_fract_y
_atom_site_fract_z
Li1 Li 0.000 0.000 0.000
Cu1 Cu 0.000 0.000 0.500
Sb1 Sb 0.500 0.500 0.269
Sb2 Sb 0.500 0.500 0.731
```

Space group: Cmmm, No. 65
Size of the total moment (μB/atom): 0.000
E above lowest polymorph (eV per atom): 0.0683
Density of states at the Fermi level (states/eV/atom): 0.31
Uncorrected formation energy (eV/f.u.): -0.175
Final energy (eV per atom): -3.607


No. 11
Crystalline BaZn4Sb3O12 at its relaxed geometry, computed with PBE.

Geometry as CIF:
```
data_BaZn4Sb3O12
_space_group_name_H-M_alt 'P 1'
_space_group_IT_number 1
_space_group_name_Hall 'P 1'
_cell_length_a 7.046
_cell_length_b 7.046
_cell_length_c 7.046
_cell_angle_alpha 107.41
_cell_angle_beta 107.41
_cell_angle_gamma 107.41
loop_
_atom_site_label
_atom_site_type_symbol
_atom_site_fract_x
_atom_site_fract_y
_atom_site_fract_z
Ba1 Ba 0.000 0.000 0.000
Zn1 Zn 0.068 0.500 0.932
Zn2 Zn 0.500 0.500 0.500
Zn3 Zn 0.500 0.932 0.068
Zn4 Zn 0.932 0.068 0.500
Sb1 Sb 0.000 0.562 0.438
Sb2 Sb 0.438 0.000 0.562
Sb3 Sb 0.562 0.438 0.000
O1 O 0.033 0.646 0.745
O2 O 0.104 0.896 0.500
O3 O 0.255 0.354 0.967
O4 O 0.330 0.670 0.500
O5 O 0.354 0.967 0.255
O6 O 0.500 0.104 0.896
O7 O 0.500 0.330 0.670
O8 O 0.646 0.745 0.033
O9 O 0.670 0.500 0.330
O10 O 0.745 0.033 0.646
O11 O 0.896 0.500 0.104
O12 O 0.967 0.255 0.354
```

Space group: R32, No. 155
Size of the total moment (μB/atom): 0.000
Density of states at the Fermi level (states/eV/atom): 0.14
Uncorrected formation energy (eV/f.u.): -30.319
Final energy (eV per atom): -5.460


No. 12
Crystalline Tb4ErTh at its relaxed geometry, computed with PBE.

Geometry as CIF:
```
data_Tb4ErTh
_space_group_name_H-M_alt 'P 1'
_space_group_IT_number 1
_space_group_name_Hall 'P 1'
_cell_length_a 8.444
_cell_length_b 8.444
_cell_length_c 6.548
_cell_angle_alpha 109.76
_cell_angle_beta 109.76
_cell_angle_gamma 102.72
loop_
_atom_site_label
_atom_site_type_symbol
_atom_site_fract_x
_atom_site_fract_y
_atom_site_fract_z
Tb1 Tb 0.019 0.648 0.750
Tb2 Tb 0.096 0.246 0.756
Tb3 Tb 0.246 0.096 0.256
Tb4 Tb 0.352 0.981 0.750
Tb5 Tb 0.648 0.019 0.250
Tb6 Tb 0.754 0.904 0.744
Tb7 Tb 0.904 0.754 0.244
Tb8 Tb 0.981 0.352 0.250
Er1 Er 0.316 0.684 0.250
Er2 Er 0.684 0.316 0.750
Th1 Th 0.429 0.571 0.750
Th2 Th 0.571 0.429 0.250
```

Space group: C2/c, No. 15
Size of the total moment (μB/atom): 0.000
E above lowest polymorph (eV per atom): 0.0213
Density of states at the Fermi level (states/eV/atom): 1.51
Formation energy (eV/atom): 0.048
Final energy (eV per atom): -5.036